TlSiPd3: single point on PBEsol structure, meta-GGA SCAN.

Output
Crystal system: cubic
Total moment in Bohr magnetons per cell: 0.0
Formation energy from raw total energies in meV/atom: 1190
DOS at the Fermi energy in states/eV/atom: 0.52
Electronic total energy in eV/atom: -34.9493
Symmetry: No. 221

Cell lengths 4.9140, 4.9140, 4.9140 Å; angles 90.00, 90.00, 90.00 degrees
Closest atoms and distances in Å follow each position.
Fractional positions:
Tl 0.0000 0.0000 0.0000  6 Pd 2.46
Pd 0.0000 0.0000 0.5000  2 Tl 2.46
Si 0.5000 0.5000 0.5000  12 Pd 3.47
Pd 0.0000 0.5000 0.0000  2 Tl 2.46
Pd 0.5000 0.0000 0.0000  2 Tl 2.46